GdThAs | PBE | optimized geometry

abc: 4.9515 4.9515 4.9515
angles: 60.00 60.00 60.00
With the nearest neighbours (Å) after each atom.
Sites, in units of the cell vectors:
Th1 0.7500 0.7500 0.7500  4 Gd 3.03
As1 0.2500 0.2500 0.2500  4 Gd 3.03
Gd1 0.0000 0.0000 0.0000  4 As 3.03, 4 Th 3.03

Calculated values
Calculated density   8.980 g cm⁻³
V   28.61 A^3/atom
Electronic total energy   -5.2221 eV per atom